# 1
# Mg7HgAu2

A relaxed Mg7HgAu2 crystal (PBE-GGA, the Alexandria database).

Calculated values
- ΔE_f (meV per atom) = -331
- density (g/cm3) = 5.8
- space-group type = P3m1
- total energy (eV/atom) = -2.133

Cell: 4.7164 4.7164 11.2757 Å, 90.00 90.00 120.00°
With the nearest neighbours (Å) after each atom.
Fractional coordinates of all 10 atoms:
Au1 0.6667 0.3333 0.3535  8 Mg 2.64-2.88
Au2 0.3333 0.6667 0.6988  8 Mg 2.74-3.00
Mg1 0.0000 0.0000 0.2843  3 Au 2.83, 1 Hg 3.06
Mg2 0.0000 0.0000 0.7228  3 Au 2.74, 3 Mg 3.05
Mg3 0.6667 0.3333 0.1177  1 Au 2.66, 3 Hg 2.97
Mg4 0.6667 0.3333 0.5877  1 Au 2.64, 1 Mg 2.90
Mg5 0.3333 0.6667 0.9560  3 Hg 2.80, 1 Au 2.90, 3 Mg 3.00
Mg6 0.6667 0.3333 0.8452  8 Mg 2.90-3.07, 3 Au 3.18
Mg7 0.3333 0.6667 0.4379  4 Au 2.88-2.94, 6 Mg 3.20-3.23
Hg1 0.0000 0.0000 0.0125  7 Mg 2.80-3.06



# 2
# YCuGe2

A relaxed YCuGe2 crystal (PBE-GGA, the Alexandria database).

Calculated values
- ΔE_f (meV per atom) = -292
- density (g/cm3) = 6.0
- space-group type = Cmmm
- total energy (eV/atom) = -5.240

Cell: 3.8799 4.8238 4.8238 Å, 113.26 90.00 90.00°
With the nearest neighbours (Å) after each atom.
Fractional coordinates of all 4 atoms:
Ge1 0.5000 0.5539 0.9463  2 Cu 2.41, 2 Ge 2.65
Ge2 0.5000 0.0537 0.4461  2 Cu 2.41, 2 Ge 2.65
Cu1 0.5000 0.5536 0.4464  4 Ge 2.41
Y1 0.0000 0.0539 0.9461  8 Ge 3.09-3.10, 4 Cu 3.29



# 3
# Ba3LaBi

A relaxed Ba3LaBi crystal (PBE-GGA, the Alexandria database).

Calculated values
- ΔE_f (meV per atom) = 421
- density (g/cm3) = 5.2
- space-group type = Pm-3m
- total energy (eV/atom) = -2.494

Cell: 6.2233 6.2233 6.2233 Å, 90.00 90.00 90.00°
With the nearest neighbours (Å) after each atom.
Fractional coordinates of all 5 atoms:
La1 0.0000 0.0000 0.0000  6 Ba 3.11
Bi1 0.5000 0.5000 0.5000  12 Ba 4.40
Ba1 0.5000 0.0000 0.0000  2 La 3.11
Ba2 0.0000 0.0000 0.5000  2 La 3.11
Ba3 0.0000 0.5000 0.0000  2 La 3.11



# 4
# Li5Tl2AgHg2

A relaxed Li5Tl2AgHg2 crystal (PBE-GGA, the Alexandria database).

Calculated values
- ΔE_f (meV per atom) = -210
- density (g/cm3) = 7.7
- space-group type = P4/mbm
- total energy (eV/atom) = -1.986

Cell: 3.3567 11.0696 11.0696 Å, 90.00 90.00 90.00°
With the nearest neighbours (Å) after each atom.
Fractional coordinates of all 20 atoms:
Li1 0.5000 0.1926 0.0289  2 Ag 2.73, 2 Hg 2.79, 2 Li 3.05
Li2 0.5000 0.5289 0.6926  2 Ag 2.73, 2 Hg 2.79, 2 Li 3.05
Li3 0.5000 0.4711 0.3074  2 Ag 2.73, 2 Hg 2.79, 2 Li 3.05
Li4 0.5000 0.3074 0.5289  2 Ag 2.73, 2 Hg 2.79, 2 Li 3.05
Li5 0.5000 0.9711 0.1926  2 Ag 2.73, 2 Hg 2.79, 2 Li 3.05
Li6 0.5000 0.6926 0.4711  2 Ag 2.73, 2 Hg 2.79, 2 Li 3.05
Li7 0.5000 0.5000 0.0000  4 Hg 2.74
Li8 0.5000 0.8074 0.9711  2 Ag 2.73, 2 Hg 2.79, 2 Li 3.05
Li9 0.5000 0.0000 0.5000  4 Hg 2.74
Li10 0.5000 0.0289 0.8074  2 Ag 2.73, 2 Hg 2.79, 2 Li 3.05
Tl1 0.0000 0.8313 0.6687  1 Hg 3.02, 6 Li 3.13-3.16, 2 Tl 3.36
Tl2 0.0000 0.3313 0.8313  1 Hg 3.02, 6 Li 3.13-3.16, 2 Tl 3.36
Tl3 0.0000 0.1687 0.3313  1 Hg 3.02, 6 Li 3.13-3.16, 2 Tl 3.36
Tl4 0.0000 0.6687 0.1687  1 Hg 3.02, 6 Li 3.13-3.16, 2 Tl 3.36
Hg1 0.0000 0.3615 0.1385  6 Li 2.74-2.79, 1 Tl 3.02
Hg2 0.0000 0.8615 0.3615  6 Li 2.74-2.79, 1 Tl 3.02
Hg3 0.0000 0.1385 0.6385  6 Li 2.74-2.79, 1 Tl 3.02
Hg4 0.0000 0.6385 0.8615  6 Li 2.74-2.79, 1 Tl 3.02
Ag1 0.0000 0.5000 0.5000  8 Li 2.73
Ag2 0.0000 0.0000 0.0000  8 Li 2.73



# 5
# Ca2As2Rh

A relaxed Ca2As2Rh crystal (PBE-GGA, the Alexandria database).

Calculated values
- ΔE_f (meV per atom) = -863
- density (g/cm3) = 5.3
- space-group type = P4/mbm
- total energy (eV/atom) = -4.994

Cell: 6.8233 6.8233 4.4591 Å, 90.00 90.00 90.00°
With the nearest neighbours (Å) after each atom.
Fractional coordinates of all 10 atoms:
As1 0.3585 0.8585 0.0000  2 Rh 2.63, 1 As 2.73, 2 Ca 2.88
As2 0.1415 0.3585 0.0000  2 Rh 2.63, 1 As 2.73, 2 Ca 2.88
As3 0.6415 0.1415 0.0000  2 Rh 2.63, 1 As 2.73, 2 Ca 2.88
As4 0.8585 0.6415 0.0000  2 Rh 2.63, 1 As 2.73, 2 Ca 2.88
Ca1 0.3298 0.1702 0.5000  6 As 2.88-3.09
Ca2 0.6702 0.8298 0.5000  6 As 2.88-3.09
Ca3 0.1702 0.6702 0.5000  6 As 2.88-3.09
Ca4 0.8298 0.3298 0.5000  6 As 2.88-3.09
Rh1 0.0000 0.0000 0.0000  4 As 2.63
Rh2 0.5000 0.5000 0.0000  4 As 2.63



# 6
# Na2ReBr6

A relaxed Na2ReBr6 crystal (PBE-GGA, the Alexandria database).

Calculated values
- density (g/cm3) = 4.0
- space-group type = P2_1/c
- ΔE to the lowest computed polymorph (kJ/mol of formula units) = 0
- total energy (eV/atom) = -3.627
- E_form (uncorrected) (eV/atom) = -0.84

Cell: 7.2180 7.0299 11.7627 Å, 90.00 90.00 90.00°
With the nearest neighbours (Å) after each atom.
Fractional coordinates of all 18 atoms:
Br1 0.1498 0.2055 0.6524  1 Re 2.54
Br2 0.6503 0.2933 0.8484  1 Re 2.54
Br3 0.2828 0.7860 0.4999  1 Re 2.54
Br4 0.7828 0.7140 0.9999  1 Re 2.54
Br5 0.8502 0.7945 0.3476  1 Re 2.54
Br6 0.7172 0.2140 0.5001  1 Re 2.54
Br7 0.6498 0.2945 0.1524  1 Re 2.54
Br8 0.2172 0.2860 0.0001  1 Re 2.54
Br9 0.1503 0.2067 0.3484  1 Re 2.54
Br10 0.8497 0.7933 0.6516  1 Re 2.54
Br11 0.3502 0.7055 0.8476  1 Re 2.54
Br12 0.3497 0.7067 0.1516  1 Re 2.54
Na1 0.0002 0.4999 0.1843  6 Br 2.94-3.07
Na2 0.9998 0.5001 0.8157  6 Br 2.94-3.07
Na3 0.4998 0.9999 0.3157  6 Br 2.94-3.07
Na4 0.5002 0.0001 0.6843  6 Br 2.94-3.07
Re1 0.5000 0.5000 0.0000  6 Br 2.54
Re2 0.0000 0.0000 0.5000  6 Br 2.54



# 7
# LiZn2CrRh

A relaxed LiZn2CrRh crystal (PBE-GGA, the Alexandria database).

Calculated values
- ΔE_f (meV per atom) = 936
- density (g/cm3) = 5.2
- space-group type = P4/mmm
- total energy (eV/atom) = -3.352

Cell: 4.6832 4.2909 4.6832 Å, 90.00 90.00 90.00°
With the nearest neighbours (Å) after each atom.
Fractional coordinates of all 5 atoms:
Cr1 0.5000 0.5000 0.5000  8 Zn 3.18, 4 Li 3.31
Zn1 0.5000 0.0000 0.0000  2 Rh 2.34
Zn2 0.0000 0.0000 0.5000  2 Rh 2.34
Li1 0.0000 0.5000 0.0000  2 Rh 2.15
Rh1 0.0000 0.0000 0.0000  2 Li 2.15, 4 Zn 2.34



Question: The highest density belongs to which entry?
Answer: Li5Tl2AgHg2